VASP calculation (PBE) on Tm2PaNi after structural relaxation.

Summary:
The value obtained for the magnetic moment is 0.10 μB/atom. The calculation puts the total energy at -6.1618 eV per atom. The calculation puts the formation energy at -0.107 eV/atom. The value obtained for the calculated volume is 91 Å³/cell. The space group is No. 123. As for the crystal system: tetragonal. The value obtained for the distance to the lowest polymorph of the same formula is 0 meV per atom.

a = 3.3123 Å, b = 3.3123 Å, c = 8.2759 Å
α = 90.00°, β = 90.00°, γ = 90.00°
Last column: magnetic moment on the atom in μB.
Atoms (fractional coordinates):
1 Ni 0.5000 0.5000 0.0000  0.00
2 Pa 0.5000 0.5000 0.5000  0.29
3 Tm 0.0000 0.0000 0.8022  0.02
4 Tm 0.0000 0.0000 0.1978  0.02